[1]
Cd2ReTe GGA-PBE optimized geometry; calculated volume = 92 Å³/cell; uncorrected energy = -3.732 eV/atom
1.0
2.969 0.000 0.000
0.000 2.969 0.000
0.000 0.000 10.461
Cd Re Te
2 1 1
direct
0.000 0.000 0.193
0.000 0.000 0.807
0.500 0.500 0.000
0.500 0.500 0.500


[2]
Cd2ReTe GGA-PBE optimized geometry; calculated volume = 84 Å³/cell; uncorrected energy = -3.776 eV/atom
1.0
4.782 -1.633 0.000
4.782 1.633 0.000
-0.987 0.000 5.351
Cd Re Te
2 1 1
direct
0.000 0.000 0.000
0.243 0.243 0.781
0.503 0.503 0.510
0.783 0.783 0.335


[3]
Cd2ReTe GGA-PBE optimized geometry; calculated volume = 82 Å³/cell; uncorrected energy = -3.504 eV/atom
1.0
0.000 3.442 3.442
3.442 0.000 3.442
3.442 3.442 0.000
Cd Re Te
2 1 1
direct
0.000 0.000 0.000
0.250 0.250 0.250
0.750 0.750 0.750
0.500 0.500 0.500


[4]
Cd2ReTe GGA-PBE optimized geometry; calculated volume = 98 Å³/cell; uncorrected energy = -3.931 eV/atom
1.0
-1.557 2.370 6.633
1.557 -2.370 6.633
1.557 2.370 -6.633
Cd Re Te
2 1 1
direct
0.000 0.000 0.000
0.652 0.152 0.500
0.183 0.683 0.500
0.342 0.342 0.000


[5]
CdReTe2 GGA-PBE optimized geometry; calculated volume = 100 Å³/cell; uncorrected energy = -4.207 eV/atom
1.0
1.537 0.887 12.178
-1.537 0.887 12.178
0.000 -1.774 12.178
Cd Re Te
1 1 2
direct
0.000 0.000 0.000
0.500 0.500 0.500
0.427 0.427 0.427
0.573 0.573 0.573


[6]
Cd2ReTe GGA-PBE optimized geometry; calculated volume = 97 Å³/cell; uncorrected energy = -3.890 eV/atom
1.0
3.217 0.000 0.000
0.000 2.227 6.803
0.000 -2.227 6.803
Cd Re Te
2 1 1
direct
0.000 0.000 0.000
0.500 0.348 0.348
0.000 0.798 0.798
0.500 0.647 0.647


[7]
Cd2ReTe GGA-PBE optimized geometry; calculated volume = 91 Å³/cell; uncorrected energy = -3.797 eV/atom
1.0
1.575 -2.625 0.000
1.575 2.625 0.000
0.000 0.000 11.005
Cd Re Te
2 1 1
direct
0.000 0.000 0.000
0.500 0.500 0.252
0.500 0.500 0.782
0.000 0.000 0.589


[8]
Cd2Re2Te GGA-PBE optimized geometry; calculated volume = 205 Å³/cell; uncorrected energy = -5.201 eV/atom; E above lowest polymorph = 0 meV/atom
1.0
8.341 0.000 0.000
0.000 8.341 0.000
0.000 0.000 2.945
Cd Re Te
4 4 2
direct
0.190 0.310 0.000
0.310 0.810 0.000
0.690 0.190 0.000
0.810 0.690 0.000
0.099 0.599 0.500
0.401 0.099 0.500
0.599 0.901 0.500
0.901 0.401 0.500
0.000 0.000 0.500
0.500 0.500 0.500


[9]
Cd2ReTe GGA-PBE optimized geometry; calculated volume = 83 Å³/cell; uncorrected energy = -3.601 eV/atom
1.0
3.171 0.000 0.000
0.000 5.563 0.000
-0.100 0.000 4.719
Cd Re Te
2 1 1
direct
0.245 0.000 0.244
0.755 0.000 0.756
0.000 0.500 0.000
0.500 0.500 0.500


[10]
Cd2ReTe GGA-PBE optimized geometry; calculated volume = 91 Å³/cell; uncorrected energy = -4.014 eV/atom
1.0
3.188 0.000 0.000
0.000 3.188 0.000
0.000 0.000 8.984
Cd Re Te
2 1 1
direct
0.000 0.000 0.000
0.500 0.500 0.259
0.000 0.000 0.474
0.500 0.500 0.642


[11]
CdReTe2 GGA-PBE optimized geometry; calculated volume = 101 Å³/cell; uncorrected energy = -4.591 eV/atom
1.0
3.238 0.000 0.000
0.000 3.238 0.000
0.000 0.000 9.665
Cd Re Te
1 1 2
direct
0.000 0.000 0.000
0.000 0.000 0.500
0.500 0.500 0.325
0.500 0.500 0.675


[12]
CdReTe2 GGA-PBE optimized geometry; calculated volume = 99 Å³/cell; uncorrected energy = -4.596 eV/atom
1.0
3.188 0.000 0.000
0.000 3.188 0.000
0.000 0.000 9.727
Cd Re Te
1 1 2
direct
0.000 0.000 0.000
0.500 0.500 0.198
0.000 0.000 0.356
0.500 0.500 0.725


The following raw formation energy values (in eV per atom) correspond, in order, to the records above: 0.62, 0.58, 0.85, 0.42, 0.71, 0.47, 0.56, 0.77, 0.75, 0.34, 0.32, 0.32.